Entry 1:
A plane-wave DFT calculation with PBE was carried out for a relaxed structure of Th2Pa.

Output
**Energy relative to the elements**: 0.18 eV per atom
**N(E_F)**: 1.872 states/eV/atom

a = 4.135 Å, b = 4.135 Å, c = 5.919 Å
α = 110.37°, β = 110.37°, γ = 89.99°
Fractional coordinates of all 3 atoms:
Th  0.837  0.837  0.674
Th  0.163  0.163  0.326
Pa  0.500  0.500  0.000

=====

Entry 2:
A plane-wave DFT calculation with PBE was carried out for a relaxed structure of Er3TeIr.

Output
**N(E_F)**: 0.494 states/eV/atom
**Energy above the most stable polymorph in this dataset**: 0 meV per atom
**Raw formation energy**: -0.95 eV per atom

a = 4.248 Å, b = 7.495 Å, c = 16.664 Å
α = 90.00°, β = 90.00°, γ = 90.00°
Fractional coordinates of all 20 atoms:
Ir  0.250  0.758  0.543
Er  0.750  0.983  0.589
Te  0.750  0.376  0.700
Er  0.250  0.017  0.411
Er  0.750  0.320  0.295
Er  0.250  0.866  0.948
Er  0.250  0.517  0.089
Te  0.250  0.624  0.300
Te  0.750  0.876  0.800
Er  0.250  0.680  0.705
Ir  0.750  0.742  0.043
Er  0.250  0.366  0.552
Er  0.250  0.180  0.795
Ir  0.750  0.242  0.457
Te  0.250  0.124  0.200
Er  0.750  0.820  0.205
Ir  0.250  0.258  0.957
Er  0.750  0.134  0.052
Er  0.750  0.483  0.911
Er  0.750  0.634  0.448

=====

Entry 3:
A plane-wave DFT calculation with PBE was carried out for a relaxed structure of TcPtI2N.

Output
**N(E_F)**: 1.120 states/eV/atom
**Energy above the most stable polymorph in this dataset**: 0 meV per atom
**Raw formation energy**: 0.75 eV per atom

a = 5.448 Å, b = 5.448 Å, c = 3.705 Å
α = 90.00°, β = 90.00°, γ = 90.00°
Fractional coordinates of all 5 atoms:
I  0.500  0.000  0.000
Pt  0.500  0.500  0.500
I  0.000  0.500  0.000
N  0.000  0.000  0.500
Tc  0.000  0.000  0.000